Material: CaErMg2Pd4
Method: DFT, PBE-GGA
State: optimized geometry

a b c (Å): 8.1810 8.1810 8.1810
angles (deg): 33.96 33.96 33.96
With the nearest neighbours (Å) after each atom.
Fractional positions:
1 Ca 0.0000 0.0000 0.0000  8 Pd 2.94-2.96
2 Er 0.5000 0.5000 0.5000  8 Pd 2.83-2.90
3 Mg 0.2510 0.2510 0.2510  8 Pd 2.84-2.96
4 Mg 0.7490 0.7490 0.7490  8 Pd 2.84-2.96
5 Pd 0.1283 0.1283 0.1283  4 Mg 2.84-2.96, 3 Er 2.90, 1 Ca 2.96
6 Pd 0.3773 0.3773 0.3773  1 Er 2.83, 4 Mg 2.90-2.92, 3 Ca 2.94
7 Pd 0.6227 0.6227 0.6227  1 Er 2.83, 4 Mg 2.90-2.92, 3 Ca 2.94
8 Pd 0.8717 0.8717 0.8717  4 Mg 2.84-2.96, 3 Er 2.90, 1 Ca 2.96

Summary:
DOS at the Fermi energy = 3.2 states/eV/cell
spin magnetization = 0.0 μB per cell
formation energy from the elements = -72 kJ/mol of atoms
final energy = -4.56 eV/atom
SG = No. 166